[1]
First-principles (PBE) data for a relaxed structure of ZrInSe2, as listed in Alexandria. Values from VASP.

Structure (Quantum ESPRESSO input):
```
&SYSTEM
  ibrav = 0, nat = 16, ntyp = 3
/
ATOMIC_SPECIES
Se 78.96 Se.upf
Zr 91.22 Zr.upf
In 114.82 In.upf
CELL_PARAMETERS angstrom
6.837 0.000 0.000
0.000 7.650 0.000
0.000 0.000 7.247
ATOMIC_POSITIONS angstrom
Se 2.303 6.371 1.385
Se 4.534 1.278 5.008
Se 1.116 2.546 5.008
Se 5.721 5.103 1.385
Se 2.303 6.371 4.955
Se 4.533 1.279 1.331
Se 1.115 2.546 1.331
Se 5.722 5.104 4.955
Zr 5.885 2.917 6.793
Zr 0.952 4.732 3.169
Zr 4.370 6.742 3.169
Zr 2.467 0.907 6.793
In 6.389 7.283 6.795
In 0.448 0.367 3.172
In 3.866 3.458 3.172
In 2.971 4.191 6.795
```

Computed properties:
- Symmetry: Pnma, No. 62
- Raw formation energy: -0.81 eV/atom



[2]
First-principles (PBE) data for a relaxed structure of TiBe, as listed in Alexandria. Values from VASP.

Structure (Quantum ESPRESSO input):
```
&SYSTEM
  ibrav = 0, nat = 8, ntyp = 2
/
ATOMIC_SPECIES
Ti 47.87 Ti.upf
Be 9.01 Be.upf
CELL_PARAMETERS angstrom
4.716 0.000 0.000
0.000 4.716 0.000
0.000 0.000 4.859
ATOMIC_POSITIONS angstrom
Ti 3.197 3.197 0.000
Ti 0.839 3.877 2.429
Ti 3.877 0.839 2.429
Ti 1.519 1.519 0.000
Be 3.965 0.751 0.000
Be 1.607 1.607 2.429
Be 3.110 3.110 2.429
Be 0.751 3.965 0.000
```

Computed properties:
- Symmetry: P4_2/mnm, No. 136
- Energy of formation: 0.32 eV per atom



[3]
First-principles (PBE) data for a relaxed structure of TaTlOs2, as listed in Alexandria. Values from VASP.

Structure (Quantum ESPRESSO input):
```
&SYSTEM
  ibrav = 0, nat = 4, ntyp = 3
/
ATOMIC_SPECIES
Os 190.23 Os.upf
Ta 180.95 Ta.upf
Tl 204.38 Tl.upf
CELL_PARAMETERS angstrom
4.856 0.006 0.000
3.916 2.873 0.000
1.032 0.339 5.055
ATOMIC_POSITIONS angstrom
Os 1.138 0.373 4.838
Os 4.797 1.574 2.746
Ta 7.353 2.414 3.792
Tl 2.451 0.805 1.264
```

Computed properties:
- Symmetry: C2/m, No. 12
- Energy of formation: 0.47 eV per atom



[4]
First-principles (PBE) data for a relaxed structure of ZnPBr2, as listed in Alexandria. Values from VASP.

Structure (Quantum ESPRESSO input):
```
&SYSTEM
  ibrav = 0, nat = 4, ntyp = 3
/
ATOMIC_SPECIES
Zn 65.41 Zn.upf
P 30.97 P.upf
Br 79.90 Br.upf
CELL_PARAMETERS angstrom
-6.676 1.555 4.031
-4.705 0.169 6.409
1.285 3.589 1.027
ATOMIC_POSITIONS angstrom
Zn 0.000 0.000 0.000
P -5.048 2.656 5.733
Br -0.761 2.745 2.231
Br -9.335 2.567 9.235
```

Computed properties:
- Symmetry: C2/m, No. 12
- Raw formation energy: 0.09 eV/atom



[5]
First-principles (PBE) data for a relaxed structure of PrY6Tm5, as listed in Alexandria. Values from VASP.

Structure (Quantum ESPRESSO input):
```
&SYSTEM
  ibrav = 0, nat = 12, ntyp = 3
/
ATOMIC_SPECIES
Pr 140.91 Pr.upf
Y 88.91 Y.upf
Tm 168.93 Tm.upf
CELL_PARAMETERS angstrom
-9.387 -4.343 -5.617
2.716 -4.307 -3.443
0.668 -5.704 2.177
ATOMIC_POSITIONS angstrom
Pr 0.000 0.000 0.000
Y -6.568 -5.517 -3.762
Y -0.564 -5.507 -2.691
Y -1.685 -2.173 -2.278
Y -4.986 -6.477 -6.782
Y -5.439 -8.847 -4.192
Y 0.565 -8.838 -3.121
Tm -3.795 -6.689 -1.934
Tm 1.128 -3.337 -0.422
Tm -3.336 -4.325 -4.530
Tm 2.256 -6.674 -0.844
Tm -2.208 -7.665 -4.949
```

Computed properties:
- Symmetry: C2/m, No. 12
- Energy of formation: 0.03 eV per atom



[6]
First-principles (PBE) data for a relaxed structure of BaSrSe2, as listed in Alexandria. Values from VASP.

Structure (Quantum ESPRESSO input):
```
&SYSTEM
  ibrav = 0, nat = 4, ntyp = 3
/
ATOMIC_SPECIES
Ba 137.33 Ba.upf
Se 78.96 Se.upf
Sr 87.62 Sr.upf
CELL_PARAMETERS angstrom
-5.337 -0.397 1.273
-1.513 -1.633 5.030
-2.269 3.594 3.492
ATOMIC_POSITIONS angstrom
Ba -4.560 0.782 4.898
Se 0.000 0.000 0.000
Se -2.280 0.391 2.449
Sr -6.840 1.173 7.347
```

Computed properties:
- Symmetry: F-43m, No. 216
- Raw formation energy: -0.96 eV/atom



[7]
First-principles (PBE) data for a relaxed structure of NaLaY, as listed in Alexandria. Values from VASP.

Structure (Quantum ESPRESSO input):
```
&SYSTEM
  ibrav = 0, nat = 6, ntyp = 3
/
ATOMIC_SPECIES
La 138.91 La.upf
Y 88.91 Y.upf
Na 22.99 Na.upf
CELL_PARAMETERS angstrom
3.631 0.000 0.000
0.000 3.631 0.000
0.000 0.000 16.342
ATOMIC_POSITIONS angstrom
La 0.000 1.815 9.572
La 1.815 0.000 6.770
Y 1.815 0.000 12.108
Y 0.000 1.815 4.234
Na 0.000 1.815 14.899
Na 1.815 0.000 1.443
```

Computed properties:
- Symmetry: P4/nmm, No. 129
- Energy of formation: 0.10 eV per atom



[8]
First-principles (PBE) data for a relaxed structure of Ce2Pu2GaGe4, as listed in Alexandria. Values from VASP.

Structure (Quantum ESPRESSO input):
```
&SYSTEM
  ibrav = 0, nat = 9, ntyp = 4
/
ATOMIC_SPECIES
Ce 140.12 Ce.upf
Pu 244.00 Pu.upf
Ga 69.72 Ga.upf
Ge 72.64 Ge.upf
CELL_PARAMETERS angstrom
6.589 0.187 0.270
-2.999 5.870 -0.270
-2.999 -2.315 5.401
ATOMIC_POSITIONS angstrom
Ce 0.296 3.917 1.283
Ce 0.296 -0.175 4.118
Pu -4.059 2.406 3.472
Pu -1.939 1.149 1.659
Ga 0.000 0.000 0.000
Ge -2.999 3.842 1.135
Ge -1.187 2.769 3.996
Ge -2.999 -0.288 3.996
Ge 1.779 0.973 1.405
```

Computed properties:
- Symmetry: I4/mmm, No. 139
- Energy of formation: -0.24 eV per atom



What did the second record say?
First-principles (PBE) data for a relaxed structure of TiBe, as listed in Alexandria. Values from VASP.

Structure (Quantum ESPRESSO input):
```
&SYSTEM
  ibrav = 0, nat = 8, ntyp = 2
/
ATOMIC_SPECIES
Ti 47.87 Ti.upf
Be 9.01 Be.upf
CELL_PARAMETERS angstrom
4.716 0.000 0.000
0.000 4.716 0.000
0.000 0.000 4.859
ATOMIC_POSITIONS angstrom
Ti 3.197 3.197 0.000
Ti 0.839 3.877 2.429
Ti 3.877 0.839 2.429
Ti 1.519 1.519 0.000
Be 3.965 0.751 0.000
Be 1.607 1.607 2.429
Be 3.110 3.110 2.429
Be 0.751 3.965 0.000
```

Computed properties:
- Symmetry: P4_2/mnm, No. 136
- Energy of formation: 0.32 eV per atom